Computed, not measured: an optimized crystal structure of BPdPb3 at the PBE level of DFT.

## Properties
Uncorrected energy in eV/atom: -3.90
Formation enthalpy at 0 K in eV per atom: 0.697
Total moment in μB per formula unit: 0.00

Cell and atoms, written as POSCAR:
```
BPdPb3
1.0
4.9736 0.0000 0.0000
0.0000 4.9736 0.0000
0.0000 0.0000 4.9736
B Pd Pb
1 1 3
Cartesian
0.0000 0.0000 0.0000 B
2.4868 2.4868 2.4868 Pd
0.0000 0.0000 2.4868 Pb
0.0000 2.4868 0.0000 Pb
2.4868 0.0000 0.0000 Pb
```